## i
Here is crystalline TaNb3Os at its relaxed geometry from Alexandria via LeMat-Bulk. Energies are from PBE.

Computed properties:
ρ = 9.67 g cm⁻³
DOS at the Fermi energy = 9.13 states/eV/f.u.

extended XYZ file:
```
5
Lattice="-1.2420 3.3803 -3.1952 -1.0183 -3.4245 -3.2271 -4.5386 -0.1567 1.5984" Properties=species:S:1:pos:R:3 pbc="T T T"
Nb -0.5091 -1.7122 -1.6136
Nb -2.2693 -0.0784 0.7992
Nb -0.6210 1.6902 -1.5976
Ta -3.3994 -0.1004 -2.4120
Os 0.0000 0.0000 0.0000
```

## ii
Here is crystalline TaNb3Os at its relaxed geometry from Alexandria via LeMat-Bulk. Energies are from PBE.

Computed properties:
ρ = 11.52 g cm⁻³
DOS at the Fermi energy = 5.48 states/eV/f.u.

extended XYZ file:
```
10
Lattice="-1.5312 -0.4782 4.3188 -4.9521 -4.9092 -2.2992 3.6514 -4.0781 0.8431" Properties=species:S:1:pos:R:3 pbc="T T T"
Os -4.0849 -3.8148 -0.6419
Nb -3.9220 -5.0909 1.7319
Os 1.2530 -5.6507 3.5046
Ta -0.7211 -3.4459 3.0489
Ta -2.1108 -6.0196 -0.1861
Nb -1.1022 -6.1607 2.6132
Nb 1.0901 -4.3746 1.1309
Nb -1.7297 -3.3048 0.2495
Nb -3.0750 -8.1165 1.6972
Nb 0.2431 -1.3490 1.1655
```

Most stable: ii. Least stable: i.